# Al2TlHg GGA-PBE relaxed
data_Al2TlHg
_space_group_name_H-M_alt 'F -4 3 m'
_space_group_IT_number 216
_space_group_name_Hall 'F -4 2 3'
_cell_length_a 7.187
_cell_length_b 7.187
_cell_length_c 7.187
_cell_angle_alpha 90.00
_cell_angle_beta 90.00
_cell_angle_gamma 90.00
loop_
_atom_site_label
_atom_site_type_symbol
_atom_site_fract_x
_atom_site_fract_y
_atom_site_fract_z
Al1 Al 0.000 0.000 0.000
Al2 Al 0.250 0.250 0.250
Tl1 Tl 0.250 0.250 0.750
Hg1 Hg 0.000 0.000 0.500
# E_form: 0.335 eV per atom
# Crystal system: cubic
# D(E_F): 1.07 states/eV per atom

=====

# In3SnPt GGA-PBE relaxed
data_In3SnPt
_space_group_name_H-M_alt 'P m -3 m'
_space_group_IT_number 221
_space_group_name_Hall '-P 4 2 3'
_cell_length_a 5.209
_cell_length_b 5.209
_cell_length_c 5.209
_cell_angle_alpha 90.00
_cell_angle_beta 90.00
_cell_angle_gamma 90.00
loop_
_atom_site_label
_atom_site_type_symbol
_atom_site_fract_x
_atom_site_fract_y
_atom_site_fract_z
In1 In 0.000 0.000 0.500
Sn1 Sn 0.500 0.500 0.500
Pt1 Pt 0.000 0.000 0.000
# E_form: -0.038 eV per atom
# Crystal system: cubic
# D(E_F): 0.68 states/eV per atom

=====

# Cr3HgAs GGA-PBE relaxed
data_Cr3HgAs
_space_group_name_H-M_alt 'P m -3 m'
_space_group_IT_number 221
_space_group_name_Hall '-P 4 2 3'
_cell_length_a 5.060
_cell_length_b 5.060
_cell_length_c 5.060
_cell_angle_alpha 90.00
_cell_angle_beta 90.00
_cell_angle_gamma 90.00
loop_
_atom_site_label
_atom_site_type_symbol
_atom_site_fract_x
_atom_site_fract_y
_atom_site_fract_z
Cr1 Cr 0.000 0.000 0.500
Hg1 Hg 0.000 0.000 0.000
As1 As 0.500 0.500 0.500
# E_form: 1.487 eV per atom
# Crystal system: cubic
# D(E_F): 0.91 states/eV per atom

=====

# Ni2HgIr GGA-PBE relaxed
data_Ni2HgIr
_space_group_name_H-M_alt 'R 3 m'
_space_group_IT_number 160
_space_group_name_Hall 'R 3 -2"'
_cell_length_a 2.7944
_cell_length_b 2.7944
_cell_length_c 25.8468
_cell_angle_alpha 90.00
_cell_angle_beta 90.00
_cell_angle_gamma 120.00
loop_
_atom_site_label
_atom_site_type_symbol
_atom_site_fract_x
_atom_site_fract_y
_atom_site_fract_z
Ni1 Ni 0.0000 0.0000 0.0000
Ni2 Ni 0.0000 0.0000 0.2619
Hg1 Hg 0.0000 0.0000 0.7545
Ir1 Ir 0.0000 0.0000 0.5194
# E_form: 0.362 eV per atom
# Crystal system: trigonal
# D(E_F): 1.76 states/eV per atom

=====

# K2BiAsAu GGA-PBE relaxed
data_K2BiAsAu
_space_group_name_H-M_alt 'P 4/m m m'
_space_group_IT_number 123
_space_group_name_Hall '-P 4 2'
_cell_length_a 6.914
_cell_length_b 6.914
_cell_length_c 5.293
_cell_angle_alpha 90.00
_cell_angle_beta 90.00
_cell_angle_gamma 90.00
loop_
_atom_site_label
_atom_site_type_symbol
_atom_site_fract_x
_atom_site_fract_y
_atom_site_fract_z
K1 K 0.000 0.500 0.000
Bi1 Bi 0.000 0.000 0.000
As1 As 0.000 0.000 0.500
Au1 Au 0.500 0.500 0.500
# E_form: 0.148 eV per atom
# Crystal system: tetragonal
# D(E_F): 0.38 states/eV per atom

=====

# Ce3Ni7Ir2 GGA-PBE relaxed
data_Ce3Ni7Ir2
_space_group_name_H-M_alt 'R -3 m'
_space_group_IT_number 166
_space_group_name_Hall '-R 3 2"'
_cell_length_a 5.0268
_cell_length_b 5.0268
_cell_length_c 25.2587
_cell_angle_alpha 90.00
_cell_angle_beta 90.00
_cell_angle_gamma 120.00
loop_
_atom_site_label
_atom_site_type_symbol
_atom_site_fract_x
_atom_site_fract_y
_atom_site_fract_z
Ce1 Ce 0.0000 0.0000 0.0000
Ce2 Ce 0.0000 0.0000 0.1392
Ni1 Ni 0.0000 0.0000 0.5000
Ni2 Ni 0.0000 0.5000 0.0853
Ir1 Ir 0.0000 0.0000 0.3314
# E_form: -0.392 eV per atom
# Crystal system: trigonal
# D(E_F): 1.66 states/eV per atom

=====

# NaInPd2 GGA-PBE relaxed
data_NaInPd2
_space_group_name_H-M_alt 'I -4 2 d'
_space_group_IT_number 122
_space_group_name_Hall 'I -4 2bw'
_cell_length_a 7.422
_cell_length_b 7.422
_cell_length_c 5.862
_cell_angle_alpha 90.00
_cell_angle_beta 90.00
_cell_angle_gamma 90.00
loop_
_atom_site_label
_atom_site_type_symbol
_atom_site_fract_x
_atom_site_fract_y
_atom_site_fract_z
Na1 Na 0.000 0.000 0.000
In1 In 0.000 0.000 0.500
Pd1 Pd 0.232 0.750 0.625
# E_form: -0.076 eV per atom
# Crystal system: tetragonal
# D(E_F): 0.24 states/eV per atom

=====

# AcLa2Tl2 GGA-PBE relaxed
data_AcLa2Tl2
_space_group_name_H-M_alt 'P 4/m b m'
_space_group_IT_number 127
_space_group_name_Hall '-P 4 2ab'
_cell_length_a 9.540
_cell_length_b 9.540
_cell_length_c 3.691
_cell_angle_alpha 90.00
_cell_angle_beta 90.00
_cell_angle_gamma 90.00
loop_
_atom_site_label
_atom_site_type_symbol
_atom_site_fract_x
_atom_site_fract_y
_atom_site_fract_z
Ac1 Ac 0.000 0.000 0.000
La1 La 0.116 0.384 0.000
Tl1 Tl 0.179 0.679 0.500
# E_form: -0.253 eV per atom
# Crystal system: tetragonal
# D(E_F): 1.23 states/eV per atom

=====

# In12Ge5As3 GGA-PBE relaxed
data_In12Ge5As3
_space_group_name_H-M_alt 'I a -3 d'
_space_group_IT_number 230
_space_group_name_Hall '-I 4bd 2c 3'
_cell_length_a 16.597
_cell_length_b 16.597
_cell_length_c 16.597
_cell_angle_alpha 90.00
_cell_angle_beta 90.00
_cell_angle_gamma 90.00
loop_
_atom_site_label
_atom_site_type_symbol
_atom_site_fract_x
_atom_site_fract_y
_atom_site_fract_z
In1 In 0.017 0.071 0.654
Ge1 Ge 0.000 0.000 0.000
Ge2 Ge 0.000 0.250 0.375
As1 As 0.000 0.250 0.125
# E_form: 0.159 eV per atom
# Crystal system: cubic
# D(E_F): 0.52 states/eV per atom

=====

# Ca3Ga2Cu9 GGA-PBE relaxed
data_Ca3Ga2Cu9
_space_group_name_H-M_alt 'I m m m'
_space_group_IT_number 71
_space_group_name_Hall '-I 2 2'
_cell_length_a 4.230
_cell_length_b 8.963
_cell_length_c 12.411
_cell_angle_alpha 90.00
_cell_angle_beta 90.00
_cell_angle_gamma 90.00
loop_
_atom_site_label
_atom_site_type_symbol
_atom_site_fract_x
_atom_site_fract_y
_atom_site_fract_z
Ca1 Ca 0.000 0.000 0.000
Ca2 Ca 0.000 0.000 0.302
Ga1 Ga 0.000 0.213 0.500
Cu1 Cu 0.000 0.282 0.123
Cu2 Cu 0.000 0.352 0.324
Cu3 Cu 0.000 0.500 0.000
# E_form: -0.156 eV per atom
# Crystal system: orthorhombic
# D(E_F): 0.35 states/eV per atom

=====

# CaOs2Ru GGA-PBE relaxed
data_CaOs2Ru
_space_group_name_H-M_alt 'I 4/m m m'
_space_group_IT_number 139
_space_group_name_Hall '-I 4 2'
_cell_length_a 3.894
_cell_length_b 3.894
_cell_length_c 8.596
_cell_angle_alpha 90.00
_cell_angle_beta 90.00
_cell_angle_gamma 90.00
loop_
_atom_site_label
_atom_site_type_symbol
_atom_site_fract_x
_atom_site_fract_y
_atom_site_fract_z
Ca1 Ca 0.000 0.000 0.000
Os1 Os 0.000 0.500 0.250
Ru1 Ru 0.000 0.000 0.500
# E_form: 0.754 eV per atom
# Crystal system: tetragonal
# D(E_F): 1.93 states/eV per atom

=====

# Nd2GaGe GGA-PBE relaxed
data_Nd2GaGe
_space_group_name_H-M_alt 'P 4/m m m'
_space_group_IT_number 123
_space_group_name_Hall '-P 4 2'
_cell_length_a 4.928
_cell_length_b 4.928
_cell_length_c 4.115
_cell_angle_alpha 90.00
_cell_angle_beta 90.00
_cell_angle_gamma 90.00
loop_
_atom_site_label
_atom_site_type_symbol
_atom_site_fract_x
_atom_site_fract_y
_atom_site_fract_z
Nd1 Nd 0.000 0.500 0.000
Ga1 Ga 0.000 0.000 0.500
Ge1 Ge 0.500 0.500 0.500
# E_form: -0.595 eV per atom
# Crystal system: tetragonal
# D(E_F): 0.50 states/eV per atom